# ScPt2W, optimized geometry, DFT PBE
# Magnetization, μB per atom: 0.000
# Space group: Cmmm (65)
# E_form, kJ per mole of atoms: -56.2
# Final energy, eV per cell: -33.698
# DOS at the Fermi energy, states/eV per atom: 0.706
data_ScPt2W
_chemical_formula_sum 'Sc1 Pt2 W1'
_cell_length_a 4.928
_cell_length_b 4.928
_cell_length_c 2.841
_cell_angle_alpha 90.00
_cell_angle_beta 90.00
_cell_angle_gamma 109.44
_space_group_name_H-M_alt 'P 1'
_space_group_IT_number 1
loop_
_space_group_symop_operation_xyz
'x,y,z'
loop_
_atom_site_label
_atom_site_fract_x
_atom_site_fract_y
_atom_site_fract_z
Sc1 0.000 0.000 0.000
Pt1 0.000 0.500 0.500
Pt2 0.500 0.000 0.500
W1 0.500 0.500 0.000